The following is a DFT calculation (GGA-PBE) of an optimized crystal structure of Ag2TeCl2.

Cell and atoms, written as POSCAR:
```
Ag2TeCl2
1.0
4.400 0.000 0.000
2.200 7.365 0.000
2.185 -0.009 8.469
Ag Te Cl
4 2 4
direct
0.003 0.495 0.250
0.248 0.004 0.250
0.752 0.996 0.750
0.997 0.505 0.750
0.375 0.750 0.750
0.625 0.250 0.250
0.214 0.750 0.066
0.465 0.250 0.566
0.535 0.750 0.434
0.786 0.250 0.934
```

Properties
- VASP energy: -27.737 eV for the cell shown
- ΔE_f (raw): -0.2662 eV/atom
- M_tot: 0.0 μB per formula unit
- SG: P-1, No. 2

The following is a DFT calculation (GGA-PBE) of an optimized crystal structure of La5Nd6Pb.

Cell and atoms, written as POSCAR:
```
La5Nd6Pb
1.0
-2.557 5.186 7.857
2.557 -5.186 7.857
2.557 5.186 -7.857
La Nd Pb
5 6 1
direct
0.000 0.000 0.000
0.163 0.663 0.500
0.333 0.333 0.000
0.667 0.667 0.000
0.837 0.337 0.500
0.095 0.838 0.257
0.257 0.500 0.757
0.419 0.162 0.257
0.581 0.838 0.743
0.743 0.500 0.243
0.905 0.162 0.743
0.500 0.000 0.500
```

Properties
- VASP energy: -57.892 eV for the cell shown
- M_tot: 0.0 μB per formula unit
- SG: Immm, No. 71
- Formation energy from the elements: -0.078 eV per atom

The following is a DFT calculation (GGA-PBE) of an optimized crystal structure of BaCaCu2Sb2.

Cell and atoms, written as POSCAR:
```
BaCaCu2Sb2
1.0
4.552 0.000 0.000
-2.276 3.942 0.000
0.000 0.000 8.857
Ba Ca Cu Sb
1 1 2 2
direct
0.000 0.000 0.000
0.000 0.000 0.500
0.333 0.667 0.713
0.667 0.333 0.287
0.333 0.667 0.273
0.667 0.333 0.727
```

Properties
- VASP energy: -24.506 eV for the cell shown
- ΔE_f (raw): -0.6908 eV/atom
- M_tot: 0.0 μB per formula unit
- SG: P-3m1, No. 164

The following is a DFT calculation (GGA-PBE) of an optimized crystal structure of InGa2CoAu.

Cell and atoms, written as POSCAR:
```
InGa2CoAu
1.0
4.502 0.000 0.000
0.000 4.502 0.000
0.000 0.000 5.133
In Ga Co Au
1 2 1 1
direct
0.000 0.000 0.000
0.000 0.500 0.500
0.500 0.000 0.500
0.500 0.500 0.500
0.500 0.500 0.000
```

Properties
- VASP energy: -18.788 eV for the cell shown
- M_tot: 0.0 μB per formula unit
- SG: P4/mmm, No. 123
- Formation energy from the elements: 0.077 eV per atom

The following is a DFT calculation (GGA-PBE) of an optimized crystal structure of YHo3Sb3.

Cell and atoms, written as POSCAR:
```
YHo3Sb3
1.0
4.469 2.580 6.120
-4.469 2.580 6.120
0.000 -5.161 6.120
Y Ho Sb
2 6 6
direct
0.166 0.166 0.166
0.834 0.834 0.834
0.156 0.413 0.678
0.322 0.844 0.587
0.413 0.678 0.156
0.587 0.322 0.844
0.678 0.156 0.413
0.844 0.587 0.322
0.029 0.802 0.421
0.198 0.579 0.971
0.421 0.029 0.802
0.579 0.971 0.198
0.802 0.421 0.029
0.971 0.198 0.579
```

Properties
- VASP energy: -77.678 eV for the cell shown
- ΔE_f (raw): -0.8963 eV/atom
- M_tot: 0.0 μB per formula unit
- Polymorph energy (0 for the lowest one): 89.6 meV/atom
- SG: R-3, No. 148

The following is a DFT calculation (GGA-PBE) of an optimized crystal structure of PrNd4Ho2Tm.

Cell and atoms, written as POSCAR:
```
PrNd4Ho2Tm
1.0
6.266 0.000 0.000
0.000 3.636 0.000
-2.108 0.000 11.760
Pr Nd Ho Tm
1 4 2 1
direct
0.000 0.000 0.000
0.250 0.000 0.747
0.252 0.500 0.254
0.748 0.500 0.746
0.750 0.000 0.253
0.500 0.000 0.500
0.500 0.500 0.000
0.000 0.500 0.500
```

Properties
- VASP energy: -37.334 eV for the cell shown
- M_tot: 0.0 μB per formula unit
- SG: P2/m, No. 10
- Formation energy from the elements: 0.018 eV per atom

Calculated DOS at the Fermi energy in order - 0.363; 16.383; 0.580; 3.707; 5.005; 10.838 states/eV/f.u.